1.
Entry from Alexandria: HoB2Rh3 at its PBEsol-relaxed geometry (SCAN).

a b c (Å): 5.3339 5.3339 3.1034
angles (deg): 90.00 90.00 120.00
Closest atoms and distances in Å follow each position.
Positions (direct):
Ho 0.0000 0.0000 0.0000  6 B 3.08, 12 Rh 3.09, 2 Ho 3.10
B 0.3333 0.6667 0.0000  6 Rh 2.19
B 0.6667 0.3333 0.0000  6 Rh 2.19
Rh 0.0000 0.5000 0.5000  4 B 2.19
Rh 0.5000 0.0000 0.5000  4 B 2.19
Rh 0.5000 0.5000 0.5000  4 B 2.19

Calculated values
As for the magnetic moment: 0.00 μB per formula unit. The value obtained for the density of states at the Fermi level is 1.6 states/eV per cell. Its formation energy is -0.8414 eV/atom. As for the space group: P6/mmm.

2.
Entry from Alexandria: SbSI3 at its PBEsol-relaxed geometry (SCAN).

a b c (Å): 5.8642 5.8642 5.8642
angles (deg): 90.00 90.00 90.00
Closest atoms and distances in Å follow each position.
Positions (direct):
Sb 0.0000 0.0000 0.0000  6 I 2.93
S 0.5000 0.5000 0.5000  12 I 4.15
I 0.0000 0.0000 0.5000  2 Sb 2.93
I 0.0000 0.5000 0.0000  2 Sb 2.93
I 0.5000 0.0000 0.0000  2 Sb 2.93

Calculated values
As for the magnetic moment: 2.07 μB per formula unit. The value obtained for the density of states at the Fermi level is 5.3 states/eV per cell. The formation energy without anion corrections comes out at 0.448 eV/atom. As for the space group: Pm-3m.

3.
Entry from Alexandria: GdBiPd at its PBEsol-relaxed geometry (SCAN).

a b c (Å): 6.6546 6.6546 6.6546
angles (deg): 90.00 90.00 90.00
Closest atoms and distances in Å follow each position.
Positions (direct):
Gd 0.0000 0.0000 0.0000  4 Pd 2.88
Gd 0.0000 0.5000 0.5000  4 Pd 2.88
Gd 0.5000 0.0000 0.5000  4 Pd 2.88
Gd 0.5000 0.5000 0.0000  4 Pd 2.88
Bi 0.0000 0.0000 0.5000  4 Pd 2.88
Bi 0.0000 0.5000 0.0000  4 Pd 2.88
Bi 0.5000 0.0000 0.0000  4 Pd 2.88
Bi 0.5000 0.5000 0.5000  4 Pd 2.88
Pd 0.2500 0.2500 0.2500  4 Gd 2.88, 4 Bi 2.88
Pd 0.2500 0.7500 0.7500  4 Gd 2.88, 4 Bi 2.88
Pd 0.7500 0.2500 0.7500  4 Gd 2.88, 4 Bi 2.88
Pd 0.7500 0.7500 0.2500  4 Gd 2.88, 4 Bi 2.88

Calculated values
As for the magnetic moment: 7.00 μB per formula unit. The value obtained for the density of states at the Fermi level is 0.2 states/eV per cell. Its formation energy is -1.0573 eV/atom. As for the space group: F-43m.

4.
Entry from Alexandria: AlCr2Co at its PBEsol-relaxed geometry (SCAN).

a b c (Å): 3.3497 3.3497 4.0643
angles (deg): 90.00 90.00 90.00
Closest atoms and distances in Å follow each position.
Positions (direct):
Al 0.0000 0.0000 0.0000  4 Co 2.37, 8 Cr 2.63
Cr 0.0000 0.5000 0.5000  4 Cr 2.37, 4 Co 2.63, 4 Al 2.63
Cr 0.5000 0.0000 0.5000  4 Cr 2.37, 4 Co 2.63, 4 Al 2.63
Co 0.5000 0.5000 0.0000  4 Al 2.37, 8 Cr 2.63

Calculated values
As for the magnetic moment: 0.01 μB per formula unit. The value obtained for the density of states at the Fermi level is 4.3 states/eV per cell. Its formation energy is -0.0067 eV/atom. As for the space group: P4/mmm.

5.
Entry from Alexandria: SiTc2Ru at its PBEsol-relaxed geometry (SCAN).

a b c (Å): 2.7396 3.9367 5.0579
angles (deg): 90.00 100.99 90.00
Closest atoms and distances in Å follow each position.
Positions (direct):
Si 0.0000 0.0000 0.0000  4 Tc 2.49, 2 Ru 2.53, 2 Si 2.74
Tc 0.4302 0.5000 0.2405  2 Si 2.49, 4 Tc 2.53-2.74, 4 Ru 2.69-2.75
Tc 0.5698 0.5000 0.7595  2 Si 2.49, 4 Tc 2.53-2.74, 4 Ru 2.69-2.75
Ru 0.0000 0.0000 0.5000  2 Si 2.53, 8 Tc 2.69-2.75, 2 Ru 2.74

Calculated values
As for the magnetic moment: 0.00 μB per formula unit. The value obtained for the density of states at the Fermi level is 3.1 states/eV per cell. The formation energy without anion corrections comes out at -0.135 eV/atom. As for the space group: P2/m.

6.
Entry from Alexandria: ReHgSb2I at its PBEsol-relaxed geometry (SCAN).

a b c (Å): 5.4283 5.4283 5.5793
angles (deg): 90.00 90.00 90.00
Closest atoms and distances in Å follow each position.
Positions (direct):
Re 0.0000 0.0000 0.0000  4 I 3.84, 8 Sb 3.89
Hg 0.5000 0.5000 0.5000  4 Sb 2.71, 2 I 2.79
Sb 0.0000 0.5000 0.5000  2 Hg 2.71
Sb 0.5000 0.0000 0.5000  2 Hg 2.71
I 0.5000 0.5000 0.0000  2 Hg 2.79

Calculated values
As for the magnetic moment: 3.74 μB per formula unit. The value obtained for the density of states at the Fermi level is 2.8 states/eV per cell. The formation energy without anion corrections comes out at 1.850 eV/atom. As for the space group: P4/mmm.

7.
Entry from Alexandria: NdVO4 at its PBEsol-relaxed geometry (SCAN).

a b c (Å): 6.0886 6.0886 6.0886
angles (deg): 105.99 105.99 116.68
Closest atoms and distances in Å follow each position.
Positions (direct):
Nd 0.3750 0.6250 0.7500  8 O 2.40-2.49
Nd 0.6250 0.3750 0.2500  8 O 2.40-2.49
V 0.1250 0.8750 0.2500  4 O 1.71
V 0.8750 0.1250 0.7500  4 O 1.71
O 0.1346 0.7044 0.4302  1 V 1.71
O 0.2258 0.2956 0.9302  1 V 1.71
O 0.2956 0.2258 0.4302  1 V 1.71
O 0.2956 0.8654 0.0698  1 V 1.71
O 0.7044 0.1346 0.9302  1 V 1.71
O 0.7044 0.7742 0.5698  1 V 1.71
O 0.7742 0.7044 0.0698  1 V 1.71
O 0.8654 0.2956 0.5698  1 V 1.71

Calculated values
As for the magnetic moment: 0.00 μB per formula unit. The value obtained for the density of states at the Fermi level is 0.0 states/eV per cell. The formation energy without anion corrections comes out at -3.283 eV/atom. As for the space group: I4_1/amd.

8.
Entry from Alexandria: HfTl3Co at its PBEsol-relaxed geometry (SCAN).

a b c (Å): 4.8640 4.8640 4.8640
angles (deg): 90.00 90.00 90.00
Closest atoms and distances in Å follow each position.
Positions (direct):
Hf 0.0000 0.0000 0.0000  12 Tl 3.44
Tl 0.0000 0.5000 0.5000  2 Co 2.43
Tl 0.5000 0.0000 0.5000  2 Co 2.43
Tl 0.5000 0.5000 0.0000  2 Co 2.43
Co 0.5000 0.5000 0.5000  6 Tl 2.43

Calculated values
As for the magnetic moment: 0.00 μB per formula unit. The value obtained for the density of states at the Fermi level is 4.5 states/eV per cell. Its formation energy is 0.7832 eV/atom. As for the space group: Pm-3m.